(1)
This record from Alexandria via LeMat-Bulk describes crystalline CaSm2Bi2 at its relaxed geometry. The functional is PBE.

For the formation energy, the calculation gives -0.6428 eV/atom. The value obtained for the total magnetic moment is 0.6 μB/f.u.

The space group is C2/m (No. 12) and the conventional cell measures 18.0079, 4.5591 and 8.9200 Å, with angles of 90.00, 104.30 and 90.00 degrees. The distinct sites, in fractional coordinates, are Ca at (0.1780, 0.0000, 0.3382), Sm at (0.0009, 0.5000, 0.7545), Sm at (0.1752, 0.0000, 0.8361), Bi at (0.1331, 0.5000, 0.5654) and Bi at (0.1386, 0.5000, 0.0680).

(2)
This record from Alexandria via LeMat-Bulk describes crystalline SiTe at its relaxed geometry. The functional is PBE.

The value obtained for the total magnetic moment is 0.0 μB/f.u. The value obtained for the raw formation energy is 1.50 eV/f.u.

The space group is P6_3/mmc (No. 194) and the conventional cell measures 5.3312, 5.3312 and 8.0192 Å, with angles of 90.00, 90.00 and 120.00 degrees. The distinct sites, in fractional coordinates, are Si at (0.3333, 0.6667, 0.0997), Te at (0.0000, 0.0000, 0.2500) and Te at (0.3333, 0.6667, 0.7500).

(3)
This record from Alexandria via LeMat-Bulk describes crystalline BaCa2GaRu at its relaxed geometry. The functional is PBE.

For the formation energy, the calculation gives 0.2292 eV/atom. The value obtained for the total magnetic moment is 0.0 μB/f.u.

The space group is P4/mmm (No. 123) and the conventional cell measures 5.6420, 5.6420 and 4.9389 Å, with angles of 90.00, 90.00 and 90.00 degrees. The distinct sites, in fractional coordinates, are Ba at (0.0000, 0.0000, 0.0000), Ca at (0.0000, 0.5000, 0.5000), Ga at (0.5000, 0.5000, 0.5000) and Ru at (0.5000, 0.5000, 0.0000).

Copy entry 1 word for word.
This record from Alexandria via LeMat-Bulk describes crystalline CaSm2Bi2 at its relaxed geometry. The functional is PBE.

For the formation energy, the calculation gives -0.6428 eV/atom. The value obtained for the total magnetic moment is 0.6 μB/f.u.

The space group is C2/m (No. 12) and the conventional cell measures 18.0079, 4.5591 and 8.9200 Å, with angles of 90.00, 104.30 and 90.00 degrees. The distinct sites, in fractional coordinates, are Ca at (0.1780, 0.0000, 0.3382), Sm at (0.0009, 0.5000, 0.7545), Sm at (0.1752, 0.0000, 0.8361), Bi at (0.1331, 0.5000, 0.5654) and Bi at (0.1386, 0.5000, 0.0680).

What is the total magnetic moment in the first record?
0.6 μB/f.u.

What is the formula in the first record?
CaSm2Bi2